Entry 1:
# Be2InIr (PBE-GGA, optimized geometry)
# Calculated formation energy   -0.0343 eV/atom
data_Be2InIr
_chemical_formula_sum 'Be2 In1 Ir1'
_symmetry_space_group_name_H-M 'P 1 m 1'
_symmetry_Int_Tables_number 6
_symmetry_space_group_name_Hall 'P -2y'
_cell_length_a 2.839
_cell_length_b 3.603
_cell_length_c 5.605
_cell_angle_alpha 90.00
_cell_angle_beta 91.00
_cell_angle_gamma 90.00
loop_
_atom_site_label
_atom_site_type_symbol
_atom_site_fract_x
_atom_site_fract_y
_atom_site_fract_z
_atom_site_occupancy
Be1 Be 0.000 0.000 0.000 1
Be2 Be 0.020 0.500 0.201 1
In1 In 0.996 0.000 0.535 1
Ir1 Ir 0.501 0.500 0.880 1


Entry 2:
# HoPuZn2Ge2 (PBE-GGA, optimized geometry)
# Calculated formation energy   -0.4644 eV/atom
data_HoPuZn2Ge2
_chemical_formula_sum 'Ho1 Pu1 Zn2 Ge2'
_symmetry_space_group_name_H-M 'P -3 m 1'
_symmetry_Int_Tables_number 164
_symmetry_space_group_name_Hall '-P 3 2"'
_cell_length_a 4.3000
_cell_length_b 4.3000
_cell_length_c 7.6399
_cell_angle_alpha 90.00
_cell_angle_beta 90.00
_cell_angle_gamma 120.00
loop_
_atom_site_label
_atom_site_type_symbol
_atom_site_fract_x
_atom_site_fract_y
_atom_site_fract_z
_atom_site_occupancy
Ho1 Ho 0.0000 0.0000 0.0000 1
Pu1 Pu 0.0000 0.0000 0.5000 1
Zn1 Zn 0.3333 0.6667 0.2434 1
Ge1 Ge 0.3333 0.6667 0.7510 1


- Number 2 is which compound?
  HoPuZn2Ge2


What did the first record say?
# Be2InIr (PBE-GGA, optimized geometry)
# Calculated formation energy   -0.0343 eV/atom
data_Be2InIr
_chemical_formula_sum 'Be2 In1 Ir1'
_symmetry_space_group_name_H-M 'P 1 m 1'
_symmetry_Int_Tables_number 6
_symmetry_space_group_name_Hall 'P -2y'
_cell_length_a 2.839
_cell_length_b 3.603
_cell_length_c 5.605
_cell_angle_alpha 90.00
_cell_angle_beta 91.00
_cell_angle_gamma 90.00
loop_
_atom_site_label
_atom_site_type_symbol
_atom_site_fract_x
_atom_site_fract_y
_atom_site_fract_z
_atom_site_occupancy
Be1 Be 0.000 0.000 0.000 1
Be2 Be 0.020 0.500 0.201 1
In1 In 0.996 0.000 0.535 1
Ir1 Ir 0.501 0.500 0.880 1